1.
Er2NbB2Ru5 PBE-GGA optimized geometry; D(E_F) = 11.75 states/eV/cell; ΔE_f = -514.3 meV/atom; total DFT energy (no corrections) = -8.41 eV/atom
1.0
9.651 0.000 0.000
0.000 9.651 0.000
0.000 0.000 3.125
Er Nb B Ru
4 2 4 10
Direct
0.175 0.325 0.000
0.325 0.825 0.000
0.675 0.175 0.000
0.825 0.675 0.000
0.000 0.000 0.000
0.500 0.500 0.000
0.121 0.621 0.000
0.379 0.121 0.000
0.621 0.879 0.000
0.879 0.379 0.000
0.000 0.500 0.500
0.071 0.782 0.500
0.218 0.071 0.500
0.282 0.571 0.500
0.429 0.282 0.500
0.500 0.000 0.500
0.571 0.718 0.500
0.718 0.429 0.500
0.782 0.929 0.500
0.929 0.218 0.500

---

2.
NdEr2B6 PBE-GGA optimized geometry; D(E_F) = 3.50 states/eV/cell; ΔE_f = -492.2 meV/atom; total DFT energy (no corrections) = -6.49 eV/atom
1.0
5.718 0.000 0.000
-2.859 4.952 0.000
0.000 0.000 3.922
Nd Er B
1 2 6
Direct
0.000 0.000 0.000
0.333 0.667 0.000
0.667 0.333 0.000
0.000 0.340 0.500
0.000 0.660 0.500
0.340 0.000 0.500
0.340 0.340 0.500
0.660 0.000 0.500
0.660 0.660 0.500

---

3.
NdErB12 PBE-GGA optimized geometry; D(E_F) = 1.37 states/eV/cell; ΔE_f = -420.4 meV/atom; total DFT energy (no corrections) = -6.81 eV/atom
1.0
4.110 0.000 0.000
0.000 4.110 0.000
0.000 0.000 8.224
Nd Er B
1 1 12
Direct
0.000 0.000 0.000
0.000 0.000 0.500
0.199 0.500 0.252
0.199 0.500 0.748
0.500 0.199 0.252
0.500 0.199 0.748
0.500 0.500 0.100
0.500 0.500 0.401
0.500 0.500 0.599
0.500 0.500 0.900
0.500 0.801 0.252
0.500 0.801 0.748
0.801 0.500 0.252
0.801 0.500 0.748

---

4.
ErNiB4 PBE-GGA optimized geometry; D(E_F) = 5.12 states/eV/cell; ΔE_f = -558.2 meV/atom; total DFT energy (no corrections) = -6.73 eV/atom
1.0
5.881 0.000 0.000
0.000 11.411 0.000
0.000 0.000 3.398
Er Ni B
4 4 16
Direct
0.127 0.150 0.000
0.373 0.650 0.000
0.627 0.350 0.000
0.873 0.850 0.000
0.134 0.412 0.000
0.366 0.912 0.000
0.634 0.088 0.000
0.866 0.588 0.000
0.021 0.692 0.500
0.113 0.547 0.500
0.137 0.967 0.500
0.215 0.815 0.500
0.285 0.315 0.500
0.363 0.467 0.500
0.387 0.047 0.500
0.479 0.192 0.500
0.521 0.808 0.500
0.613 0.953 0.500
0.637 0.533 0.500
0.715 0.685 0.500
0.785 0.185 0.500
0.863 0.033 0.500
0.887 0.453 0.500
0.979 0.308 0.500

---

5.
ErNi2B PBE-GGA optimized geometry; D(E_F) = 2.32 states/eV/cell; ΔE_f = -208.3 meV/atom; total DFT energy (no corrections) = -5.91 eV/atom
1.0
2.485 -3.603 0.000
2.485 3.603 0.000
0.000 0.000 3.117
Er Ni B
1 2 1
Direct
0.000 0.000 0.000
0.333 0.667 0.500
0.667 0.333 0.500
0.500 0.500 0.000

---

6.
Er2Ni3B6 PBE-GGA optimized geometry; D(E_F) = 4.57 states/eV/cell; ΔE_f = -584.7 meV/atom; total DFT energy (no corrections) = -6.63 eV/atom
1.0
3.845 -4.308 0.000
3.845 4.308 0.000
0.000 0.000 3.460
Er Ni B
2 3 6
Direct
0.225 0.775 0.000
0.775 0.225 0.000
0.272 0.272 0.000
0.500 0.500 0.500
0.728 0.728 0.000
0.113 0.113 0.500
0.114 0.415 0.500
0.415 0.114 0.500
0.585 0.886 0.500
0.886 0.585 0.500
0.887 0.887 0.500

---

7.
Er4NiB13 PBE-GGA optimized geometry; D(E_F) = 8.89 states/eV/cell; ΔE_f = -501.7 meV/atom; total DFT energy (no corrections) = -6.66 eV/atom
1.0
7.279 0.000 0.000
0.000 7.279 0.000
0.000 0.000 6.841
Er Ni B
8 2 26
Direct
0.180 0.316 0.000
0.184 0.320 0.500
0.316 0.820 0.000
0.320 0.816 0.500
0.680 0.184 0.500
0.684 0.180 0.000
0.816 0.680 0.500
0.820 0.684 0.000
0.000 0.000 0.500
0.500 0.500 0.000
0.000 0.000 0.000
0.040 0.829 0.243
0.040 0.829 0.757
0.092 0.592 0.250
0.092 0.592 0.750
0.171 0.040 0.243
0.171 0.040 0.757
0.329 0.540 0.257
0.329 0.540 0.743
0.408 0.092 0.250
0.408 0.092 0.750
0.460 0.329 0.257
0.460 0.329 0.743
0.500 0.500 0.500
0.540 0.671 0.257
0.540 0.671 0.743
0.592 0.908 0.250
0.592 0.908 0.750
0.671 0.460 0.257
0.671 0.460 0.743
0.829 0.960 0.243
0.829 0.960 0.757
0.908 0.408 0.250
0.908 0.408 0.750
0.960 0.171 0.243
0.960 0.171 0.757

---

8.
ErNiB3 PBE-GGA optimized geometry; D(E_F) = 2.15 states/eV/cell; ΔE_f = -379.3 meV/atom; total DFT energy (no corrections) = -6.45 eV/atom
1.0
1.781 -9.180 0.000
1.781 9.180 0.000
0.000 0.000 3.168
Er Ni B
2 2 6
Direct
0.079 0.921 0.750
0.921 0.079 0.250
0.211 0.789 0.250
0.789 0.211 0.750
0.321 0.679 0.250
0.366 0.634 0.750
0.476 0.524 0.750
0.524 0.476 0.250
0.634 0.366 0.250
0.679 0.321 0.750

---

9.
Er2Ni4B PBE-GGA optimized geometry; D(E_F) = 2.62 states/eV/cell; ΔE_f = -303.5 meV/atom; total DFT energy (no corrections) = -5.86 eV/atom
1.0
-2.566 2.566 4.235
2.566 -2.566 4.235
2.566 2.566 -4.235
Er Ni B
2 4 1
Direct
0.250 0.750 0.500
0.750 0.250 0.500
0.234 0.234 0.469
0.234 0.766 0.000
0.766 0.234 0.000
0.766 0.766 0.531
0.500 0.500 0.000

---

10.
ErNi6B PBE-GGA optimized geometry; D(E_F) = 10.97 states/eV/cell; ΔE_f = -169.3 meV/atom; total DFT energy (no corrections) = -5.91 eV/atom
1.0
3.547 0.000 0.000
0.000 3.547 0.000
0.000 0.000 7.938
Er Ni B
1 6 1
Direct
0.000 0.000 0.000
0.000 0.500 0.352
0.000 0.500 0.648
0.500 0.000 0.352
0.500 0.000 0.648
0.500 0.500 0.148
0.500 0.500 0.852
0.000 0.000 0.500

---

11.
ErNi8B4 PBE-GGA optimized geometry; D(E_F) = 8.02 states/eV/cell; ΔE_f = -188.6 meV/atom; total DFT energy (no corrections) = -6.15 eV/atom
1.0
-3.799 3.799 2.228
3.799 -3.799 2.228
3.799 3.799 -2.228
Er Ni B
1 8 4
Direct
0.000 0.000 0.000
0.000 0.341 0.341
0.000 0.659 0.659
0.274 0.500 0.774
0.341 0.000 0.341
0.500 0.274 0.774
0.500 0.726 0.226
0.659 0.000 0.659
0.726 0.500 0.226
0.000 0.000 0.500
0.000 0.500 0.000
0.500 0.000 0.000
0.500 0.500 0.500

---

12.
Er2Ni21B6 PBE-GGA optimized geometry; D(E_F) = 20.32 states/eV/cell; ΔE_f = -351.9 meV/atom; total DFT energy (no corrections) = -6.23 eV/atom
1.0
0.000 5.331 5.331
5.331 0.000 5.331
5.331 5.331 0.000
Er Ni B
2 21 6
Direct
0.250 0.250 0.250
0.750 0.750 0.750
0.000 0.000 0.000
0.000 0.000 0.337
0.000 0.000 0.663
0.000 0.337 0.000
0.000 0.337 0.663
0.000 0.663 0.000
0.000 0.663 0.337
0.163 0.612 0.612
0.337 0.000 0.000
0.337 0.000 0.663
0.337 0.663 0.000
0.388 0.388 0.388
0.388 0.388 0.837
0.388 0.837 0.388
0.612 0.163 0.612
0.612 0.612 0.163
0.612 0.612 0.612
0.663 0.000 0.000
0.663 0.000 0.337
0.663 0.337 0.000
0.837 0.388 0.388
0.270 0.270 0.730
0.270 0.730 0.270
0.270 0.730 0.730
0.730 0.270 0.270
0.730 0.270 0.730
0.730 0.730 0.270

---

- Look up the total DFT energy (no corrections) of the third one.
  -6.81 eV/atom